PuScTl2O6, optimized geometry, DFT PBE; E_form (uncorrected) = -2089.2 meV per atom
1.0
0.000 4.215 4.215
4.215 0.000 4.215
4.215 4.215 0.000
Pu Sc Tl O
1 1 2 6
direct
0.000 0.000 0.000 Pu
0.500 0.500 0.500 Sc
0.250 0.250 0.250 Tl
0.750 0.750 0.750 Tl
0.242 0.242 0.758 O
0.242 0.758 0.242 O
0.242 0.758 0.758 O
0.758 0.242 0.242 O
0.758 0.242 0.758 O
0.758 0.758 0.242 O


VASP calculation (PBE) on a geometry-optimized BeV2Ru structure.

The structure in POSCAR format:
```
BeV2Ru
1.0
3.016 0.000 0.000
0.000 3.016 0.000
0.000 0.000 5.417
Be V Ru
1 2 1
direct
0.000 0.000 0.000 Be
0.500 0.500 0.224 V
0.500 0.500 0.776 V
0.000 0.000 0.500 Ru
```


La3ZrGa5O14, optimized geometry, DFT PBE; E_form (uncorrected) = -2615.8 meV per atom
1.0
8.375 0.000 0.000
-4.187 7.253 0.000
0.000 0.000 5.213
La Zr Ga O
3 1 5 14
direct
0.000 0.574 0.000 La
0.426 0.426 0.000 La
0.574 0.000 0.000 La
0.000 0.000 0.000 Zr
0.000 0.248 0.500 Ga
0.248 0.000 0.500 Ga
0.333 0.667 0.531 Ga
0.667 0.333 0.469 Ga
0.752 0.752 0.500 Ga
0.082 0.852 0.245 O
0.144 0.461 0.700 O
0.148 0.230 0.245 O
0.230 0.148 0.755 O
0.316 0.856 0.700 O
0.333 0.667 0.181 O
0.461 0.144 0.300 O
0.539 0.684 0.700 O
0.667 0.333 0.819 O
0.684 0.539 0.300 O
0.770 0.918 0.245 O
0.852 0.082 0.755 O
0.856 0.316 0.300 O
0.918 0.770 0.755 O


VASP calculation (PBE) on a geometry-optimized Zr2ScTa structure.

The structure in POSCAR format:
```
Zr2ScTa
1.0
1.572 0.908 10.318
-1.572 0.908 10.318
0.000 -1.815 10.318
Zr Sc Ta
2 1 1
direct
0.246 0.246 0.246 Zr
0.754 0.754 0.754 Zr
0.000 0.000 0.000 Sc
0.500 0.500 0.500 Ta
```


Tb2SmCd, optimized geometry, DFT PBE; energy above the most stable polymorph in this dataset = 56 meV per atom
1.0
4.885 0.000 0.000
0.000 4.885 0.000
0.000 0.000 4.876
Tb Sm Cd
2 1 1
direct
0.000 0.500 0.000 Tb
0.500 0.000 0.000 Tb
0.000 0.000 0.500 Sm
0.500 0.500 0.500 Cd


VASP calculation (PBE) on a geometry-optimized NbRe2Sn structure.

The structure in POSCAR format:
```
NbRe2Sn
1.0
-1.994 1.994 9.708
1.994 -1.994 9.708
1.994 1.994 -9.708
Nb Re Sn
2 4 2
direct
0.000 0.000 0.000 Nb
0.750 0.250 0.500 Nb
0.065 0.625 0.940 Re
0.375 0.315 0.440 Re
0.685 0.125 0.060 Re
0.875 0.935 0.560 Re
0.250 0.750 0.500 Sn
0.500 0.500 0.000 Sn
```


| no. | electronic total energy (eV per atom) |
| --- | --- |
| 1 | -7.6037 |
| 2 | -7.9341 |
| 3 | -7.3062 |
| 4 | -8.6572 |
| 5 | -3.8177 |
| 6 | -8.9374 |